1.
RbV3I12 after structural relaxation. Source: the Alexandria database, functional PBE.

Unit cell a=13.2992 b=13.2992 c=15.0967 alpha=63.87 beta=63.87 gamma=60.00
Site moments in Bohr magnetons follow the coordinates.
Atoms (fractional coordinates):
Rb  0.0579  0.0579  0.8264  0.00
Rb  0.5579  0.5579  0.3264  0.00
V  0.7102  0.3402  0.9990  1.39
V  0.2102  0.4506  0.4990  1.39
V  0.8402  0.2102  0.4990  1.39
V  0.3402  0.9506  0.9990  1.39
V  0.9506  0.7102  0.9990  1.39
V  0.4506  0.8402  0.4990  1.39
I  0.1271  0.1129  0.0218  -0.03
I  0.2482  0.2632  0.6516  -0.04
I  0.9849  0.9998  0.4864  -0.04
I  0.8663  0.4024  0.8365  -0.04
I  0.3663  0.3949  0.3365  -0.04
I  0.4849  0.0288  0.9864  -0.04
I  0.7482  0.3371  0.1516  -0.04
I  0.9998  0.5288  0.4864  -0.04
I  0.6271  0.2381  0.5218  -0.03
I  0.8371  0.2482  0.6516  -0.04
I  0.9024  0.3663  0.3365  -0.04
I  0.2381  0.6129  0.5218  -0.03
I  0.0288  0.4998  0.9864  -0.04
I  0.7381  0.1271  0.0218  -0.03
I  0.4024  0.8949  0.8365  -0.04
I  0.3371  0.7632  0.1516  -0.04
I  0.7632  0.7482  0.1516  -0.04
I  0.4998  0.4849  0.9864  -0.04
I  0.6129  0.6271  0.5218  -0.03
I  0.8949  0.8663  0.8365  -0.04
I  0.3949  0.9024  0.3365  -0.04
I  0.1129  0.7381  0.0218  -0.03
I  0.2632  0.8371  0.6516  -0.04
I  0.5288  0.9849  0.4864  -0.04

Raw formation energy ... -8.4 eV/f.u.
VASP energy ... -3.455 eV/atom
V ... 62.218 Å³/atom

2.
MgSbIr4 after structural relaxation. Source: the Alexandria database, functional PBE.

Unit cell a=5.2895 b=5.2895 c=5.2895 alpha=60.00 beta=60.00 gamma=60.00
Atoms (fractional coordinates):
Mg  0.7500  0.7500  0.7500
Sb  0.0000  0.0000  0.0000
Ir  0.8743  0.3752  0.3752
Ir  0.3752  0.3752  0.8743
Ir  0.3752  0.8743  0.3752
Ir  0.3752  0.3752  0.3752

Raw formation energy ... 0.6 eV/f.u.
VASP energy ... -6.757 eV/atom
V ... 17.441 Å³/atom

3.
HfScBiO2 after structural relaxation. Source: the Alexandria database, functional PBE.

Unit cell a=4.0634 b=6.5709 c=4.0634 alpha=90.00 beta=90.00 gamma=90.00
Atoms (fractional coordinates):
Sc  0.0000  0.0000  0.0000
Hf  0.0000  0.5000  0.0000
Bi  0.5000  0.5000  0.5000
O  0.0000  0.0000  0.5000
O  0.5000  0.0000  0.0000

Raw formation energy ... -4.1 eV/f.u.
VASP energy ... -6.840 eV/atom
V ... 21.699 Å³/atom

4.
EuGd2Al after structural relaxation. Source: the Alexandria database, functional PBE.

Unit cell a=5.4208 b=5.4208 c=5.4208 alpha=60.00 beta=60.00 gamma=60.00
Site moments in Bohr magnetons follow the coordinates.
Atoms (fractional coordinates):
Eu  0.5000  0.5000  0.5000  7.00
Gd  0.2500  0.2500  0.2500  7.34
Gd  0.7500  0.7500  0.7500  7.34
Al  0.0000  0.0000  0.0000  -0.04

ΔE to the lowest computed polymorph ... 0.089 eV/atom
VASP energy ... -10.603 eV/atom
V ... 28.159 Å³/atom
Energy relative to the elements ... -0.058 eV per atom

5.
LaAl2InCo after structural relaxation. Source: the Alexandria database, functional PBE.

Unit cell a=4.6415 b=4.6415 c=4.8934 alpha=90.00 beta=90.00 gamma=90.00
Atoms (fractional coordinates):
In  0.0000  0.0000  0.5000
Co  0.0000  0.0000  0.0000
Al  0.0000  0.5000  0.0000
Al  0.5000  0.0000  0.0000
La  0.5000  0.5000  0.5000

VASP energy ... -4.777 eV/atom
V ... 21.085 Å³/atom
Energy relative to the elements ... -0.326 eV per atom

6.
SrInCl5 after structural relaxation. Source: the Alexandria database, functional PBE.

Unit cell a=7.5234 b=7.5248 c=10.7920 alpha=111.05 beta=111.06 gamma=85.13
Site moments in Bohr magnetons follow the coordinates.
Atoms (fractional coordinates):
Sr  0.5000  0.0000  0.0000  0.00
Sr  0.5000  0.0000  0.5000  0.00
In  0.9106  0.5894  0.2500  0.00
In  0.0894  0.4106  0.7500  0.00
Cl  0.7556  0.6827  0.0475  0.00
Cl  0.2492  0.6438  0.3290  0.00
Cl  0.4278  0.0718  0.2499  0.07
Cl  0.8173  0.7447  0.4524  0.00
Cl  0.1827  0.2553  0.5476  0.00
Cl  0.8561  0.2509  0.1713  0.00
Cl  0.1439  0.7491  0.8287  0.00
Cl  0.5722  0.9282  0.7501  0.07
Cl  0.7508  0.3562  0.6710  0.00
Cl  0.2444  0.3173  0.9525  0.00

Raw formation energy ... -11.4 eV/f.u.
VASP energy ... -3.577 eV/atom
V ... 37.959 Å³/atom

Question: The lowest VASP energy belongs to which entry?
Answer: EuGd2Al

Copy entry 2 word for word.
MgSbIr4 after structural relaxation. Source: the Alexandria database, functional PBE.

Unit cell a=5.2895 b=5.2895 c=5.2895 alpha=60.00 beta=60.00 gamma=60.00
Atoms (fractional coordinates):
Mg  0.7500  0.7500  0.7500
Sb  0.0000  0.0000  0.0000
Ir  0.8743  0.3752  0.3752
Ir  0.3752  0.3752  0.8743
Ir  0.3752  0.8743  0.3752
Ir  0.3752  0.3752  0.3752

Raw formation energy ... 0.6 eV/f.u.
VASP energy ... -6.757 eV/atom
V ... 17.441 Å³/atom

Question: What is the formula in the sixth record?
Answer: SrInCl5

Question: Which formula does entry 5 have?
Answer: LaAl2InCo